[1]
## Re2RhPb (PBE)

Data for an optimized crystal structure of Re2RhPb.

Lattice parameters (Å, degrees): 9.0485 3.1106 5.0504 90.00 102.64 90.00
Closest atoms and distances in Å follow each position.
Sites, in units of the cell vectors:
Re1 0.0000 0.0000 0.0000  3 Re 2.54-2.71, 2 Rh 2.70
Re2 0.2265 0.5000 0.1368  3 Re 2.54-2.71
Re3 0.5000 0.5000 0.0000  3 Re 2.54-2.71, 2 Rh 2.70
Re4 0.7265 0.0000 0.1368  3 Re 2.54-2.71
Rh1 0.4749 0.0000 0.4248  3 Pb 2.69-2.83, 5 Re 2.70-2.96
Rh2 0.9749 0.5000 0.4248  3 Pb 2.69-2.83, 5 Re 2.70-2.96
Pb1 0.2329 0.0000 0.6545  3 Rh 2.69-2.83, 3 Re 2.90-3.02
Pb2 0.7329 0.5000 0.6545  3 Rh 2.69-2.83, 3 Re 2.90-3.02

Calculated values
* ΔE_f: 0.560 eV per atom
* space group: Cm (8)



[2]
## Er4PtAuSe2 (PBE)

Data for an optimized crystal structure of Er4PtAuSe2.

Lattice parameters (Å, degrees): 6.8921 3.9582 7.5034 90.00 107.67 90.00
Closest atoms and distances in Å follow each position.
Sites, in units of the cell vectors:
Er1 0.2388 0.0000 0.2363  2 Pt 2.83, 1 Au 2.88, 3 Se 2.93-2.98
Er2 0.2447 0.5000 0.7577  1 Pt 2.83, 2 Au 2.89, 3 Se 2.92-2.98
Er3 0.7553 0.5000 0.2423  1 Pt 2.83, 2 Au 2.89, 3 Se 2.92-2.98
Er4 0.7612 0.0000 0.7637  2 Pt 2.83, 1 Au 2.88, 3 Se 2.93-2.98
Pt1 0.0000 0.5000 0.0000  6 Er 2.83
Au1 0.5000 0.0000 0.0000  6 Er 2.88-2.89
Se1 0.0000 0.0000 0.5000  6 Er 2.92-2.93
Se2 0.5000 0.5000 0.5000  6 Er 2.98

Calculated values
* formation energy from raw total energies: -31.51 kcal/mol of atoms
* space group: P2/m (10)



[3]
## Pm3HfTl3Se8 (PBE)

Data for an optimized crystal structure of Pm3HfTl3Se8.

Lattice parameters (Å, degrees): 9.2237 9.2237 9.2237 53.98 53.98 53.98
Closest atoms and distances in Å follow each position.
Sites, in units of the cell vectors:
Pm1 0.0000 0.5000 0.5000  6 Se 2.93-2.96
Pm2 0.5000 0.0000 0.5000  6 Se 2.93-2.96
Pm3 0.5000 0.5000 0.0000  6 Se 2.93-2.96
Hf1 0.0000 0.0000 0.0000  6 Se 2.73
Tl1 0.0000 0.0000 0.5000  6 Se 3.32
Tl2 0.0000 0.5000 0.0000  6 Se 3.32
Tl3 0.5000 0.0000 0.0000  6 Se 3.32
Se1 0.2206 0.2206 0.7575  1 Hf 2.73, 2 Pm 2.96
Se2 0.2206 0.7575 0.2206  1 Hf 2.73, 2 Pm 2.96
Se3 0.2425 0.7794 0.7794  1 Hf 2.73, 2 Pm 2.96
Se4 0.2630 0.2630 0.2630  3 Pm 2.93
Se5 0.7370 0.7370 0.7370  3 Pm 2.93
Se6 0.7575 0.2206 0.2206  1 Hf 2.73, 2 Pm 2.96
Se7 0.7794 0.2425 0.7794  1 Hf 2.73, 2 Pm 2.96
Se8 0.7794 0.7794 0.2425  1 Hf 2.73, 2 Pm 2.96

Calculated values
* formation energy from raw total energies: -31.54 kcal/mol of atoms
* space group: R-3m (166)



[4]
## SbTe2OsS (PBE)

Data for an optimized crystal structure of SbTe2OsS.

Lattice parameters (Å, degrees): 5.1942 5.1942 5.1686 90.00 90.00 90.00
Closest atoms and distances in Å follow each position.
Sites, in units of the cell vectors:
Sb1 0.0000 0.0000 0.0000  2 Os 2.58
Te1 0.0000 0.5000 0.5000  2 Os 2.60
Te2 0.5000 0.0000 0.5000  2 Os 2.60
Os1 0.0000 0.0000 0.5000  2 Sb 2.58, 4 Te 2.60
S1 0.5000 0.5000 0.0000  8 Te 3.66, 4 Sb 3.67

Calculated values
* energy above the lowest structure with this stoichiometry: 0.0 kJ/mol of atoms
* formation energy from raw total energies: 19.30 kcal/mol of atoms
* space group: P4/mmm (123)



[5]
## TeMo2Cl (PBE)

Data for an optimized crystal structure of TeMo2Cl.

Lattice parameters (Å, degrees): 8.6505 3.3047 7.2693 90.00 98.22 90.00
Closest atoms and distances in Å follow each position.
Sites, in units of the cell vectors:
Te1 0.0000 0.0000 0.0000  5 Mo 2.82-3.02
Te2 0.5000 0.5000 0.0000  5 Mo 2.82-3.02
Mo1 0.2554 0.5000 0.2191  2 Mo 2.43
Mo2 0.4571 0.0000 0.3117  2 Mo 2.43
Mo3 0.7554 0.0000 0.2191  2 Mo 2.43
Mo4 0.9571 0.5000 0.3117  2 Mo 2.43
Cl1 0.2032 0.0000 0.5168  5 Mo 2.81-2.93
Cl2 0.7032 0.5000 0.5168  5 Mo 2.81-2.93

Calculated values
* energy above the lowest structure with this stoichiometry: 33.8 kJ/mol of atoms
* formation energy from raw total energies: 5.95 kcal/mol of atoms
* space group: Cm (8)



[6]
## Cs2ZnGa2Au2 (PBE)

Data for an optimized crystal structure of Cs2ZnGa2Au2.

Lattice parameters (Å, degrees): 13.7358 4.6663 9.6566 90.00 133.79 90.00
Closest atoms and distances in Å follow each position.
Sites, in units of the cell vectors:
Cs1 0.1789 0.0000 0.0905  4 Ga 3.76-3.97, 3 Au 3.79-3.88, 3 Cs 3.91-4.13, 2 Zn 4.05
Cs2 0.3211 0.5000 0.9095  4 Ga 3.76-3.97, 3 Au 3.79-3.88, 3 Cs 3.91-4.13, 2 Zn 4.05
Cs3 0.6789 0.5000 0.0905  4 Ga 3.76-3.97, 3 Au 3.79-3.88, 3 Cs 3.91-4.13, 2 Zn 4.05
Cs4 0.8211 0.0000 0.9095  4 Ga 3.76-3.97, 3 Au 3.79-3.88, 3 Cs 3.91-4.13, 2 Zn 4.05
Zn1 0.0000 0.0000 0.5000  2 Au 2.57
Zn2 0.5000 0.5000 0.5000  2 Au 2.57
Ga1 0.0637 0.5000 0.3696  3 Au 2.64-2.71
Ga2 0.4363 0.0000 0.6304  3 Au 2.64-2.71
Ga3 0.5637 0.0000 0.3696  3 Au 2.64-2.71
Ga4 0.9363 0.5000 0.6304  3 Au 2.64-2.71
Au1 0.1869 0.0000 0.4998  1 Zn 2.57, 3 Ga 2.64-2.71
Au2 0.3131 0.5000 0.5002  1 Zn 2.57, 3 Ga 2.64-2.71
Au3 0.6869 0.5000 0.4998  1 Zn 2.57, 3 Ga 2.64-2.71
Au4 0.8131 0.0000 0.5002  1 Zn 2.57, 3 Ga 2.64-2.71

Calculated values
* ΔE_f: -0.191 eV per atom
* space group: C2/m (12)



[7]
## AcAlCl6 (PBE)

Data for an optimized crystal structure of AcAlCl6.

Lattice parameters (Å, degrees): 6.6813 12.0452 6.4951 90.00 105.01 90.00
Closest atoms and distances in Å follow each position.
Sites, in units of the cell vectors:
Ac1 0.0000 0.0000 0.0000  6 Cl 2.86-2.91
Ac2 0.5000 0.5000 0.0000  6 Cl 2.86-2.91
Al1 0.0000 0.5000 0.5000  6 Cl 2.35-2.37
Al2 0.5000 0.0000 0.5000  6 Cl 2.35-2.37
Cl1 0.1932 0.3605 0.7151  1 Al 2.35
Cl2 0.1932 0.6395 0.7151  1 Al 2.35
Cl3 0.2393 0.5000 0.2866  1 Al 2.37
Cl4 0.2607 0.0000 0.7134  1 Al 2.37
Cl5 0.3068 0.1395 0.2849  1 Al 2.35
Cl6 0.3068 0.8605 0.2849  1 Al 2.35
Cl7 0.6932 0.1395 0.7151  1 Al 2.35
Cl8 0.6932 0.8605 0.7151  1 Al 2.35
Cl9 0.7393 0.0000 0.2866  1 Al 2.37
Cl10 0.7607 0.5000 0.7134  1 Al 2.37
Cl11 0.8068 0.3605 0.2849  1 Al 2.35
Cl12 0.8068 0.6395 0.2849  1 Al 2.35

Calculated values
* formation energy from raw total energies: -43.43 kcal/mol of atoms
* space group: C2/m (12)



[8]
## NbHgAs2C (PBE)

Data for an optimized crystal structure of NbHgAs2C.

Lattice parameters (Å, degrees): 5.1076 5.1076 4.1873 90.00 90.00 90.00
Closest atoms and distances in Å follow each position.
Sites, in units of the cell vectors:
Nb1 0.0000 0.0000 0.0000  2 C 2.09
Hg1 0.5000 0.5000 0.5000  8 As 3.30, 4 C 3.61
As1 0.0000 0.5000 0.0000  2 Nb 2.55
As2 0.5000 0.0000 0.0000  2 Nb 2.55
C1 0.0000 0.0000 0.5000  2 Nb 2.09

Calculated values
* ΔE_f: 0.801 eV per atom
* space group: P4/mmm (123)